1.
First-principles (PBE-GGA) data for an optimized crystal structure of La2ScAu, as listed in Alexandria.

## Properties
- ρ (kg/m³) = 8138
- E_tot (eV/cell) = -20.2
- energy of formation from the pure elements (eV/atom) = -0.1771
- energy relative to the lowest polymorph listed for this composition (meV/atom) = 195

a b c (Å): 3.682 5.332 5.403
angles (deg): 90.00 90.00 90.00
Space group Pmmm (No. 47)
Unique sites:
La (0.000, 0.000, 0.000)
La (0.500, 0.500, 0.000)
Sc (0.000, 0.500, 0.500)
Au (0.500, 0.000, 0.500)


2.
First-principles (PBE-GGA) data for an optimized crystal structure of La4ScAu, as listed in Alexandria.

## Properties
- ρ (kg/m³) = 7028
- E_tot (eV/cell) = -109.6
- energy of formation from the pure elements (eV/atom) = 0.3208

a b c (Å): 9.101 9.101 9.101
angles (deg): 90.00 90.00 90.00
Space group F-43m (No. 216)
Unique sites:
La (0.125, 0.125, 0.125)
Sc (0.250, 0.250, 0.750)
Au (0.000, 0.000, 0.500)


3.
First-principles (PBE-GGA) data for an optimized crystal structure of LaSc2Au, as listed in Alexandria.

## Properties
- ρ (kg/m³) = 6951
- E_tot (eV/cell) = -21.9
- energy of formation from the pure elements (eV/atom) = -0.2603
- energy relative to the lowest polymorph listed for this composition (meV/atom) = 111

a b c (Å): 3.579 4.787 6.176
angles (deg): 90.00 105.98 90.00
Space group P2/m (No. 10)
Unique sites:
La (0.000, 0.000, 0.000)
Sc (0.338, 0.500, 0.718)
Au (0.500, 0.000, 0.500)


4.
First-principles (PBE-GGA) data for an optimized crystal structure of La2ScAu, as listed in Alexandria.

## Properties
- ρ (kg/m³) = 7135
- E_tot (eV/cell) = -60.7
- energy of formation from the pure elements (eV/atom) = -0.1884
- energy relative to the lowest polymorph listed for this composition (meV/atom) = 184

a b c (Å): 3.7267 3.7267 30.1693
angles (deg): 90.00 90.00 120.00
Space group R3m (No. 160, hexagonal axes)
Unique sites:
La (0.0000, 0.0000, 0.0000)
La (0.0000, 0.0000, 0.1812)
Sc (0.0000, 0.0000, 0.7584)
Au (0.0000, 0.0000, 0.5900)


5.
First-principles (PBE-GGA) data for an optimized crystal structure of LaScAu2, as listed in Alexandria.

## Properties
- ρ (kg/m³) = 9877
- E_tot (eV/cell) = -20.8
- energy of formation from the pure elements (eV/atom) = -0.7341

a b c (Å): 3.743 4.700 5.813
angles (deg): 90.00 108.23 90.00
Space group Pm (No. 6)
Unique sites:
La (0.000, 0.000, 0.000)
Sc (0.726, 0.500, 0.444)
Au (0.274, 0.000, 0.537)
Au (0.444, 0.500, 0.885)


6.
First-principles (PBE-GGA) data for an optimized crystal structure of LaScAu, as listed in Alexandria.

## Properties
- ρ (kg/m³) = 7895
- E_tot (eV/cell) = -32.8
- energy of formation from the pure elements (eV/atom) = -0.6138
- energy relative to the lowest polymorph listed for this composition (meV/atom) = 0

a b c (Å): 4.713 4.713 7.213
angles (deg): 90.00 90.00 90.00
Space group P4/nmm (No. 129, origin choice 2)
Unique sites:
La (0.250, 0.250, 0.124)
Sc (0.250, 0.750, 0.500)
Au (0.250, 0.250, 0.712)


7.
First-principles (PBE-GGA) data for an optimized crystal structure of LaSc2Au, as listed in Alexandria.

## Properties
- ρ (kg/m³) = 6492
- E_tot (eV/cell) = -87.0
- energy of formation from the pure elements (eV/atom) = -0.2187
- energy relative to the lowest polymorph listed for this composition (meV/atom) = 153

a b c (Å): 8.317 8.317 6.298
angles (deg): 90.00 90.00 90.00
Space group I-42d (No. 122)
Unique sites:
La (0.000, 0.000, 0.000)
Sc (0.188, 0.750, 0.625)
Au (0.000, 0.000, 0.500)


8.
First-principles (PBE-GGA) data for an optimized crystal structure of LaScAu, as listed in Alexandria.

## Properties
- ρ (kg/m³) = 8082
- E_tot (eV/cell) = -32.1
- energy of formation from the pure elements (eV/atom) = -0.4987
- energy relative to the lowest polymorph listed for this composition (meV/atom) = 115

a b c (Å): 3.529 3.529 12.563
angles (deg): 90.00 90.00 90.00
Space group I4mm (No. 107)
Unique sites:
La (0.000, 0.000, 0.000)
Sc (0.000, 0.000, 0.288)
Au (0.000, 0.000, 0.682)